Entry from Alexandria via LeMat-Bulk: LiNi at its PBEsol-relaxed geometry (SCAN).

Lattice parameters (Å, degrees): 2.391 2.391 3.879 90.00 90.00 90.00
Space group P4/mmm (No. 123)
Unique sites:
1 Li 0.000 0.000 0.000
2 Ni 0.500 0.500 0.500

M_tot (μB per cell): 0.75
Formation enthalpy at 0 K (kJ/mol of formula units): 19